# 1
Material: CeTh2Ta
Method: DFT, PBE
State: relaxed

Structure (CIF):
```
data_CeTh2Ta
_cell_length_a 3.6143
_cell_length_b 3.6143
_cell_length_c 8.2448
_cell_angle_alpha 90.00
_cell_angle_beta 90.00
_cell_angle_gamma 90.00
_space_group_name_H-M_alt 'P 4/m m m'
_space_group_IT_number 123
_space_group_name_Hall '-P 4 2'
loop_
_atom_site_label
_atom_site_fract_x
_atom_site_fract_y
_atom_site_fract_z
Ce1 0.0000 0.0000 0.0000
Th1 0.5000 0.5000 0.2733
Ta1 0.0000 0.0000 0.5000
```

## Properties
* raw total energy: -31.866 eV/cell
* ΔE_f: 0.19 eV per atom
* energy above the lowest structure with this stoichiometry: 0.0000 eV/atom

# 2
Material: YTeOs2Br
Method: DFT, PBE
State: relaxed

Structure (CIF):
```
data_YTeOs2Br
_cell_length_a 4.8501
_cell_length_b 4.8501
_cell_length_c 5.9260
_cell_angle_alpha 90.00
_cell_angle_beta 90.00
_cell_angle_gamma 90.00
_space_group_name_H-M_alt 'P 4/m m m'
_space_group_IT_number 123
_space_group_name_Hall '-P 4 2'
loop_
_atom_site_label
_atom_site_fract_x
_atom_site_fract_y
_atom_site_fract_z
Y1 0.0000 0.0000 0.0000
Te1 0.0000 0.0000 0.5000
Os1 0.0000 0.5000 0.5000
Br1 0.5000 0.5000 0.0000
```

## Properties
* raw total energy: -27.309 eV/cell
* raw formation energy: 1.29 eV per atom